Entry 1:
# TcHBr

A relaxed structure of TcHBr (GGA-PBE, the Alexandria database).

Properties
Crystal system ... triclinic
DOS at the Fermi energy ... 0.9 states/eV/f.u.
VASP energy ... -4.9912 eV/atom

Cell: 3.8903 7.3979 11.0652 Å, 88.40 82.19 79.92°
Closest atoms and distances in Å follow each position.
Space group P1 (No. 1)
Inequivalent atoms, fractional coordinates:
1 Tc 0.0000 0.0000 0.0000 [1 per cell]  1 H 1.65
2 Tc 0.0185 0.6390 0.6196 [1 per cell]  2 H 1.81-2.00
3 Tc 0.2897 0.8724 0.5475 [1 per cell]  1 H 1.86
4 Tc 0.3953 0.1542 0.1442 [1 per cell]  2 H 1.72-1.89
5 Tc 0.5763 0.4706 0.5347 [1 per cell]  1 H 1.66
6 Tc 0.9042 0.3466 0.0895 [1 per cell]  1 H 1.87
7 H 0.0784 0.4277 0.5346 [1 per cell]  3 Tc 1.81-2.02
8 H 0.4881 0.9797 0.0177 [1 per cell]  3 Tc 1.89-2.01
9 H 0.4946 0.3081 0.0311 [1 per cell]  2 Tc 1.72-1.87
10 H 0.6166 0.4662 0.6824 [1 per cell]  1 Tc 1.66
11 H 0.6898 0.7021 0.4949 [1 per cell]  3 Tc 1.86-2.00
12 H 0.9174 0.0153 0.1502 [1 per cell]  1 Tc 1.65
13 Br 0.0365 0.2901 0.8634 [1 per cell]  2 Tc 2.52-2.60, 2 H 2.60-2.76
14 Br 0.0875 0.6699 0.0845 [1 per cell]  2 Tc 2.57-2.61, 1 H 2.62
15 Br 0.2459 0.8130 0.7866 [1 per cell]  3 Tc 2.61-2.74, 1 H 2.90
16 Br 0.3512 0.8970 0.3187 [1 per cell]  2 Tc 2.52-2.68, 2 H 2.71-2.74
17 Br 0.5543 0.3888 0.3012 [1 per cell]  3 Tc 2.54-2.69
18 Br 0.7110 0.1238 0.5852 [1 per cell]  3 Tc 2.59-2.76, 2 H 2.73-2.87


Entry 2:
# GaPHS2

A relaxed structure of GaPHS2 (GGA-PBE, the Alexandria database).

Properties
Crystal system ... tetragonal
DOS at the Fermi energy ... 1.5 states/eV/f.u.
VASP energy ... -3.4439 eV/atom

Cell: 4.7134 4.7134 3.1996 Å, 90.00 90.00 90.00°
Closest atoms and distances in Å follow each position.
Space group P4/mmm (No. 123)
Inequivalent atoms, fractional coordinates:
1 Ga 0.0000 0.0000 0.0000 [1 per cell]  8 S 2.85
2 P 0.5000 0.5000 0.0000 [1 per cell]  2 H 1.60
3 H 0.5000 0.5000 0.5000 [1 per cell]  2 P 1.60
4 S 0.0000 0.5000 0.5000 [2 per cell]  2 H 2.36


> What is the formula in the first record?

TcHBr